[1]
ScTc4P: relaxed, PBE.

Its calculated total energy is -8.66 eV per atom. For the energy of formation from the pure elements, the calculation gives 0.2072 eV/atom. The volume is 390 Å³ per cell.

The space group is F-43m (No. 216) and the conventional cell measures 7.308, 7.308 and 7.308 Å, with angles of 90.00, 90.00 and 90.00 degrees. Symmetry generates all atoms from Sc at (0.000, 0.000, 0.000), Tc at (0.124, 0.124, 0.624) and P at (0.250, 0.250, 0.250).

=====

[2]
ScB6N6: relaxed, PBE.

Its calculated total energy is -7.74 eV per atom. The volume is 96 Å³ per cell.

The space group is Pm-3 (No. 200) and the conventional cell measures 4.581, 4.581 and 4.581 Å, with angles of 90.00, 90.00 and 90.00 degrees. Symmetry generates all atoms from Sc at (0.000, 0.000, 0.000), B at (0.000, 0.240, 0.500) and N at (0.000, 0.500, 0.250).

=====

[3]
InCoAs3: relaxed, PBE.

Its calculated total energy is -4.42 eV per atom. For the energy of formation from the pure elements, the calculation gives 0.3355 eV/atom. For the energy above the most stable polymorph in this dataset, the calculation gives 0.000 eV/atom. The volume is 102 Å³ per cell.

The space group is Pm-3m (No. 221) and the conventional cell measures 4.678, 4.678 and 4.678 Å, with angles of 90.00, 90.00 and 90.00 degrees. Symmetry generates all atoms from In at (0.000, 0.000, 0.000), Co at (0.500, 0.500, 0.500) and As at (0.000, 0.500, 0.500).

=====

[4]
Ta2H2Ru: relaxed, PBE.

Its calculated total energy is -7.79 eV per atom. For the energy above the most stable polymorph in this dataset, the calculation gives 0.272 eV/atom. The volume is 111 Å³ per cell.

The space group is P4/mbm (No. 127) and the conventional cell measures 6.125, 6.125 and 2.954 Å, with angles of 90.00, 90.00 and 90.00 degrees. Symmetry generates all atoms from Ta at (0.163, 0.337, 0.000), H at (0.112, 0.612, 0.500) and Ru at (0.000, 0.000, 0.500).